DFT (PBE) results for Pm3YTl2 after structural relaxation.

Output
D(E_F)	6.18	states/eV/f.u.
formation energy	-189	meV/atom

```
data_Pm3YTl2
_space_group_name_H-M_alt 'P 1'
_space_group_IT_number 1
_space_group_name_Hall 'P 1'
_cell_length_a 8.6145
_cell_length_b 8.6145
_cell_length_c 10.2894
_cell_angle_alpha 117.10
_cell_angle_beta 117.10
_cell_angle_gamma 33.97
loop_
_atom_site_label
_atom_site_type_symbol
_atom_site_fract_x
_atom_site_fract_y
_atom_site_fract_z
_atom_site_occupancy
Pm1 Pm 0.0426 0.0426 0.3623 1
Pm2 Pm 0.2882 0.2882 0.6187 1
Pm3 Pm 0.3674 0.3674 0.3283 1
Pm4 Pm 0.6326 0.6326 0.6717 1
Pm5 Pm 0.7118 0.7118 0.3813 1
Pm6 Pm 0.9574 0.9574 0.6377 1
Y1 Y 0.1184 0.1184 0.0675 1
Y2 Y 0.8816 0.8816 0.9325 1
Tl1 Tl 0.2407 0.2407 0.8960 1
Tl2 Tl 0.4905 0.4905 0.1414 1
Tl3 Tl 0.5095 0.5095 0.8586 1
Tl4 Tl 0.7593 0.7593 0.1040 1
```